Material: Gd3DyC2Se2
Method: DFT, PBE
State: relaxed

```
Gd3DyC2Se2
1.0
-0.090 0.080 3.793
-2.289 -2.354 -1.903
9.440 -9.520 0.423
C Dy Gd Se
2 1 3 2
direct
0.333 0.667 0.500 C
0.333 0.667 0.999 C
0.000 0.000 0.899 Dy
0.667 0.333 0.100 Gd
0.667 0.333 0.399 Gd
0.000 0.000 0.602 Gd
0.000 0.000 0.250 Se
0.667 0.333 0.752 Se
```

## Properties
Space group: P3m1, No. 156
Total moment in μB per formula unit: 0.00
Volume in Å³/cell: 167
Electronic total energy in eV per atom: -6.616

---

Material: Gd3DySn2C2
Method: DFT, PBE
State: relaxed

```
Gd3DySn2C2
1.0
-1.382 -3.248 -0.930
2.390 0.248 2.748
-12.107 2.193 10.331
C Dy Gd Sn
2 1 3 2
direct
0.667 0.333 0.001 C
0.667 0.333 0.500 C
0.000 0.000 0.085 Dy
0.000 0.000 0.415 Gd
0.333 0.667 0.585 Gd
0.333 0.667 0.916 Gd
0.333 0.667 0.248 Sn
0.000 0.000 0.750 Sn
```

## Properties
Space group: P3m1, No. 156
Total moment in μB per formula unit: 0.03
Volume in Å³/cell: 185
Electronic total energy in eV per atom: -6.124

---

Material: GdDy3Sn2C2
Method: DFT, PBE
State: relaxed

```
GdDy3Sn2C2
1.0
3.630 0.000 0.000
-1.815 3.144 0.000
0.000 0.000 15.961
C Dy Gd Sn
2 3 1 2
direct
0.333 0.667 0.001 C
0.333 0.667 0.500 C
0.667 0.333 0.085 Dy
0.667 0.333 0.416 Dy
0.000 0.000 0.584 Dy
0.000 0.000 0.915 Gd
0.000 0.000 0.250 Sn
0.667 0.333 0.749 Sn
```

## Properties
Space group: P3m1, No. 156
Total moment in μB per formula unit: 0.02
Volume in Å³/cell: 182
Electronic total energy in eV per atom: -6.137

---

Material: GdDy3Te2C2
Method: DFT, PBE
State: relaxed

```
GdDy3Te2C2
1.0
-2.281 -2.958 0.910
3.727 -0.086 0.940
-2.972 6.089 12.346
C Dy Gd Te
2 3 1 2
direct
0.667 0.333 0.501 C
0.667 0.333 0.998 C
0.000 0.000 0.407 Dy
0.333 0.667 0.593 Dy
0.333 0.667 0.905 Dy
0.000 0.000 0.093 Gd
0.333 0.667 0.252 Te
0.000 0.000 0.749 Te
```

## Properties
Space group: P3m1, No. 156
Total moment in μB per formula unit: 0.02
Volume in Å³/cell: 180
Electronic total energy in eV per atom: -6.263

---

Material: Gd3DyTe2C2
Method: DFT, PBE
State: relaxed

```
Gd3DyTe2C2
1.0
-1.595 -1.847 2.999
1.296 -2.007 -3.040
12.731 -1.053 6.122
C Dy Gd Te
2 1 3 2
direct
0.333 0.667 0.501 C
0.333 0.667 0.998 C
0.000 0.000 0.906 Dy
0.667 0.333 0.093 Gd
0.667 0.333 0.406 Gd
0.000 0.000 0.595 Gd
0.000 0.000 0.249 Te
0.667 0.333 0.752 Te
```

## Properties
Space group: P3m1, No. 156
Total moment in μB per formula unit: 0.01
Volume in Å³/cell: 183
Electronic total energy in eV per atom: -6.263

---

Material: GdDyZr2C3
Method: DFT, PBE
State: relaxed

```
GdDyZr2C3
1.0
-1.643 -3.486 -5.214
-3.725 -4.643 -2.571
-2.774 5.212 0.095
C Dy Gd Zr
3 1 1 2
direct
0.734 0.734 0.263 C
0.999 0.999 0.496 C
0.267 0.267 0.740 C
0.379 0.379 0.204 Dy
0.620 0.620 0.796 Gd
0.142 0.142 0.337 Zr
0.859 0.859 0.664 Zr
```

## Properties
Space group: Cm, No. 8
Total moment in μB per formula unit: 0.06
Volume in Å³/cell: 121
Electronic total energy in eV per atom: -8.129

---

Material: Dy5Ge3C
Method: DFT, PBE
State: relaxed

```
Dy5Ge3C
1.0
8.512 0.000 0.000
-4.256 7.372 0.000
0.000 0.000 6.468
C Dy Ge
2 10 6
direct
0.000 0.000 0.000 C
0.000 0.000 0.500 C
0.667 0.333 0.000 Dy
0.333 0.667 0.000 Dy
0.221 0.000 0.250 Dy
0.000 0.221 0.250 Dy
0.779 0.779 0.250 Dy
0.667 0.333 0.500 Dy
0.333 0.667 0.500 Dy
0.779 0.000 0.750 Dy
0.000 0.779 0.750 Dy
0.221 0.221 0.750 Dy
0.590 0.000 0.250 Ge
0.000 0.590 0.250 Ge
0.410 0.410 0.250 Ge
0.410 0.000 0.750 Ge
0.000 0.410 0.750 Ge
0.590 0.590 0.750 Ge
```

## Properties
Space group: P6_3/mcm, No. 193
Total moment in μB per formula unit: 0.01
Volume in Å³/cell: 406
Electronic total energy in eV per atom: -5.848

---

Material: DyHoNi2Ge2C
Method: DFT, PBE
State: relaxed

```
DyHoNi2Ge2C
1.0
-0.635 -5.283 -2.317
-0.592 -5.550 1.589
-4.820 4.815 0.383
C Dy Ge Ho Ni
1 1 2 1 2
direct
0.999 0.999 0.001 C
0.561 0.561 0.832 Dy
0.844 0.844 0.384 Ge
0.157 0.157 0.616 Ge
0.439 0.439 0.168 Ho
0.196 0.196 0.301 Ni
0.804 0.804 0.698 Ni
```

## Properties
Space group: Cm, No. 8
Total moment in μB per formula unit: 0.00
Volume in Å³/cell: 114
Electronic total energy in eV per atom: -6.116

---

Material: DyH18C17N3O7
Method: DFT, PBE
State: relaxed

```
DyH18C17N3O7
1.0
7.871 0.000 0.000
0.648 10.484 0.000
0.719 4.503 10.359
C Dy H N O
34 2 36 6 14
direct
0.194 0.636 0.031 C
0.059 0.724 0.039 C
0.182 0.493 0.099 C
0.479 0.142 0.126 C
0.034 0.444 0.174 C
0.903 0.539 0.176 C
0.745 0.492 0.254 C
0.466 0.096 0.270 C
0.853 0.878 0.281 C
0.344 0.670 0.293 C
0.307 0.160 0.312 C
0.478 0.554 0.313 C
0.965 0.899 0.373 C
0.459 0.419 0.405 C
0.594 0.324 0.412 C
0.256 0.093 0.454 C
0.097 0.165 0.486 C
0.903 0.835 0.514 C
0.744 0.907 0.546 C
0.406 0.676 0.588 C
0.541 0.581 0.595 C
0.035 0.101 0.627 C
0.522 0.446 0.687 C
0.693 0.840 0.688 C
0.656 0.330 0.707 C
0.147 0.122 0.719 C
0.534 0.904 0.730 C
0.255 0.508 0.746 C
0.097 0.461 0.824 C
0.966 0.556 0.826 C
0.521 0.858 0.874 C
0.818 0.507 0.901 C
0.941 0.276 0.961 C
0.806 0.364 0.969 C
0.658 0.839 0.101 Dy
0.342 0.161 0.899 Dy
0.932 0.164 0.012 H
0.691 0.322 0.026 H
0.284 0.421 0.092 H
0.080 0.996 0.116 H
0.267 0.929 0.145 H
0.017 0.334 0.230 H
0.201 0.153 0.255 H
0.324 0.271 0.284 H
0.583 0.125 0.300 H
0.466 0.981 0.313 H
0.982 0.011 0.340 H
0.089 0.851 0.360 H
0.992 0.165 0.426 H
0.119 0.276 0.460 H
0.345 0.390 0.469 H
0.232 0.982 0.482 H
0.589 0.217 0.483 H
0.639 0.904 0.487 H
0.361 0.096 0.513 H
0.411 0.783 0.517 H
0.768 0.018 0.518 H
0.655 0.610 0.531 H
0.881 0.724 0.540 H
0.008 0.835 0.574 H
0.911 0.149 0.640 H
0.018 0.989 0.660 H
0.534 0.019 0.687 H
0.417 0.875 0.700 H
0.676 0.729 0.716 H
0.799 0.847 0.745 H
0.983 0.666 0.770 H
0.733 0.071 0.855 H
0.920 0.004 0.884 H
0.716 0.579 0.908 H
0.309 0.678 0.974 H
0.068 0.836 0.988 H
0.914 0.678 0.108 N
0.621 0.590 0.239 N
0.735 0.358 0.336 N
0.265 0.642 0.664 N
0.379 0.410 0.761 N
0.086 0.322 0.892 N
0.414 0.258 0.052 O
0.550 0.060 0.076 O
0.203 0.019 0.098 O
0.889 0.939 0.158 O
0.392 0.790 0.209 O
0.725 0.800 0.318 O
0.206 0.644 0.355 O
0.794 0.356 0.645 O
0.275 0.200 0.682 O
0.608 0.210 0.791 O
0.111 0.061 0.842 O
0.797 0.981 0.902 O
0.450 0.940 0.924 O
0.586 0.742 0.948 O
```

## Properties
Space group: P-1, No. 2
Total moment in μB per formula unit: 0.00
Volume in Å³/cell: 855
Electronic total energy in eV per atom: -6.622

---

Material: DyH3C3O6
Method: DFT, PBE
State: relaxed

```
DyH3C3O6
1.0
5.166 2.983 1.301
-5.166 2.983 1.301
0.000 -5.965 1.301
C Dy H O
3 1 3 6
direct
0.450 0.912 0.450 C
0.912 0.450 0.450 C
0.450 0.450 0.912 C
0.056 0.056 0.056 Dy
0.699 0.699 0.218 H
0.699 0.218 0.699 H
0.218 0.699 0.699 H
0.771 0.165 0.165 O
0.165 0.771 0.165 O
0.719 0.468 0.468 O
0.468 0.719 0.468 O
0.468 0.468 0.719 O
0.165 0.165 0.771 O
```

## Properties
Space group: R3m, No. 160
Total moment in μB per formula unit: 0.00
Volume in Å³/cell: 120
Electronic total energy in eV per atom: -6.976

---

Material: DyH9C8O8
Method: DFT, PBE
State: relaxed

```
DyH9C8O8
1.0
6.009 0.000 0.000
-1.484 8.028 0.000
-1.791 -0.627 9.349
C Dy H O
16 2 18 16
direct
0.803 0.607 0.116 C
0.776 0.762 0.165 C
0.006 0.553 0.169 C
0.951 0.866 0.263 C
0.185 0.650 0.269 C
0.903 0.029 0.309 C
0.161 0.812 0.318 C
0.387 0.571 0.325 C
0.613 0.429 0.675 C
0.839 0.188 0.682 C
0.097 0.971 0.691 C
0.815 0.350 0.731 C
0.049 0.134 0.737 C
0.994 0.447 0.831 C
0.224 0.238 0.835 C
0.197 0.393 0.884 C
0.460 0.188 0.386 Dy
0.540 0.812 0.614 Dy
0.239 0.744 0.031 H
0.667 0.530 0.037 H
0.268 0.012 0.081 H
0.165 0.174 0.097 H
0.712 0.152 0.103 H
0.617 0.808 0.129 H
0.031 0.430 0.135 H
0.837 0.484 0.390 H
0.945 0.313 0.399 H
0.055 0.687 0.601 H
0.163 0.516 0.610 H
0.969 0.570 0.865 H
0.383 0.192 0.871 H
0.288 0.848 0.897 H
0.835 0.826 0.903 H
0.732 0.988 0.919 H
0.333 0.470 0.963 H
0.761 0.256 0.969 H
0.798 0.163 0.024 O
0.297 0.123 0.135 O
0.695 0.052 0.273 O
0.378 0.423 0.275 O
0.064 0.145 0.376 O
0.324 0.906 0.414 O
0.557 0.648 0.418 O
0.819 0.371 0.419 O
0.181 0.629 0.581 O
0.443 0.352 0.582 O
0.676 0.094 0.586 O
0.936 0.855 0.624 O
0.622 0.577 0.725 O
0.305 0.948 0.727 O
0.703 0.877 0.865 O
0.202 0.837 0.976 O
```

## Properties
Space group: P-1, No. 2
Total moment in μB per formula unit: 0.00
Volume in Å³/cell: 451
Electronic total energy in eV per atom: -6.643

---

Material: Dy2HfC3
Method: DFT, PBE
State: relaxed

```
Dy2HfC3
1.0
-0.040 -3.218 1.268
2.041 0.776 -2.683
6.361 2.062 5.434
C Dy Hf
3 2 1
direct
0.000 0.000 0.000 C
0.333 0.667 0.355 C
0.667 0.333 0.645 C
0.667 0.333 0.174 Dy
0.333 0.667 0.826 Dy
0.000 0.000 0.500 Hf
```

## Properties
Space group: P-3m1, No. 164
Total moment in μB per formula unit: 0.00
Volume in Å³/cell: 89
Electronic total energy in eV per atom: -8.077

---

Material: DyHf2C3
Method: DFT, PBE
State: relaxed

```
DyHf2C3
1.0
-1.918 -2.630 0.845
3.224 0.103 0.948
-2.199 3.870 7.053
C Dy Hf
3 1 2
direct
0.000 0.000 0.000 C
0.333 0.667 0.312 C
0.667 0.333 0.688 C
0.000 0.000 0.500 Dy
0.667 0.333 0.161 Hf
0.333 0.667 0.839 Hf
```

## Properties
Space group: P-3m1, No. 164
Total moment in μB per formula unit: 0.00
Volume in Å³/cell: 82
Electronic total energy in eV per atom: -9.307

---

Material: Dy3HfC2S2
Method: DFT, PBE
State: relaxed

```
Dy3HfC2S2
1.0
3.603 0.000 0.000
-1.802 3.120 0.000
0.000 0.000 12.743
C Dy Hf S
2 3 1 2
direct
0.667 0.333 0.504 C
0.667 0.333 0.984 C
0.333 0.667 0.100 Dy
0.333 0.667 0.396 Dy
0.000 0.000 0.608 Dy
0.000 0.000 0.898 Hf
0.000 0.000 0.246 S
0.333 0.667 0.764 S
```

## Properties
Space group: P3m1, No. 156
Total moment in μB per formula unit: 0.01
Volume in Å³/cell: 143
Electronic total energy in eV per atom: -7.565

---

Material: DyHf3C2S2
Method: DFT, PBE
State: relaxed

```
DyHf3C2S2
1.0
-2.844 -1.837 -0.611
2.143 -0.936 2.523
-6.268 7.061 7.944
C Dy Hf S
2 1 3 2
direct
0.333 0.667 0.504 C
0.333 0.667 0.983 C
0.000 0.000 0.102 Dy
0.000 0.000 0.407 Hf
0.667 0.333 0.600 Hf
0.667 0.333 0.893 Hf
0.667 0.333 0.265 S
0.000 0.000 0.745 S
```

## Properties
Space group: P3m1, No. 156
Total moment in μB per formula unit: 0.00
Volume in Å³/cell: 126
Electronic total energy in eV per atom: -8.954

---

Material: DyHf3C2Se2
Method: DFT, PBE
State: relaxed

```
DyHf3C2Se2
1.0
-0.256 3.404 0.730
-2.682 -1.675 -1.478
-4.610 -2.829 11.569
C Dy Hf Se
2 1 3 2
direct
0.333 0.667 0.016 C
0.333 0.667 0.496 C
0.000 0.000 0.902 Dy
0.667 0.333 0.102 Hf
0.667 0.333 0.405 Hf
0.000 0.000 0.589 Hf
0.000 0.000 0.255 Se
0.667 0.333 0.735 Se
```

## Properties
Space group: P3m1, No. 156
Total moment in μB per formula unit: 0.00
Volume in Å³/cell: 135
Electronic total energy in eV per atom: -8.642

---

Material: DyHfCSe
Method: DFT, PBE
State: relaxed

```
DyHfCSe
1.0
-2.742 2.156 0.697
-0.366 -3.519 0.369
3.852 0.898 12.383
C Dy Hf Se
2 2 2 2
direct
0.000 0.000 0.013 C
0.000 0.000 0.513 C
0.333 0.667 0.401 Dy
0.667 0.333 0.901 Dy
0.333 0.667 0.096 Hf
0.667 0.333 0.596 Hf
0.667 0.333 0.240 Se
0.333 0.667 0.740 Se
```

## Properties
Space group: P6_3mc, No. 186
Total moment in μB per formula unit: 0.00
Volume in Å³/cell: 142
Energy relative to the lowest polymorph listed for this composition in eV per atom: 0.000

---

Material: DyHfCSe
Method: DFT, PBE
State: relaxed

```
DyHfCSe
1.0
-1.763 -2.240 2.155
3.542 -0.292 -0.368
1.706 8.196 9.911
C Dy Hf Se
2 2 2 2
direct
0.000 0.000 0.000 C
0.000 0.000 0.500 C
0.333 0.667 0.104 Dy
0.667 0.333 0.896 Dy
0.333 0.667 0.410 Hf
0.667 0.333 0.590 Hf
0.667 0.333 0.268 Se
0.333 0.667 0.732 Se
```

## Properties
Space group: P-3m1, No. 164
Total moment in μB per formula unit: 0.00
Volume in Å³/cell: 143
Energy relative to the lowest polymorph listed for this composition in eV per atom: 0.033